# 1
Ca2Ce2Pt15 | PBE | optimized geometry

Cell and atoms, written as extended XYZ:
```
19
Lattice="-2.8323 3.4894 5.5291 -6.7948 -1.8158 -1.1410 -0.2629 -5.4957 4.5273" Properties=species:S:1:pos:R:3 pbc="T T T"
Pt -5.0800 -4.2228 3.1125
Pt -3.1268 -1.6078 6.4003
Pt -4.0830 1.8149 3.4238
Pt -3.3974 -0.9079 -0.5705
Pt -4.8099 0.4006 5.8028
Ca -6.2916 -2.4316 5.6717
Pt -6.7631 -2.2144 2.5151
Pt -4.7331 -2.9773 0.6481
Pt -1.0738 -2.6598 4.8435
Pt -1.4161 1.7447 2.7646
Pt -0.1314 -2.7479 2.2636
Ca -3.5983 -1.3907 3.2437
Pt -3.5435 -4.0283 5.3090
Pt -6.3465 0.2061 3.6063
Ce -1.0121 -0.3911 0.9124
Pt -5.5441 -0.1414 0.9643
Pt -2.3245 -4.3342 2.7382
Pt -2.0213 0.6534 5.2129
Ce -8.8778 -3.4311 8.0030
```

Computed properties:
The calculation puts the theoretical density at 15.4 g cm⁻³. The value obtained for the size of the total moment is 0.69 μB/cell. As for the space group: R-3m. The value obtained for the total energy is -6.229 eV/atom. As for the formation energy: -0.624 eV/atom.

---

# 2
Ca4Ce3UN8 | PBE | optimized geometry

Cell and atoms, written as extended XYZ:
```
16
Lattice="7.1341 0.0000 0.0000 0.0000 7.0378 -0.0693 -3.5671 -3.5645 5.0448" Properties=species:S:1:pos:R:3 pbc="T T T"
N 0.0000 3.4164 2.2640
Ca 0.0000 0.0000 0.0000
N 1.6781 1.9447 0.0393
N 0.0000 0.1136 2.6016
Ca -1.7835 -1.7822 2.5224
Ca 1.7835 -1.7822 2.5224
Ce 1.7835 1.7366 2.4878
Ca 3.5671 0.0000 0.0000
Ce -1.7835 1.7366 2.4878
U 0.0000 3.5189 -0.0346
Ce 3.5671 3.5189 -0.0346
N 3.5671 0.0569 2.7115
N 1.8890 1.5286 4.9362
N 5.4560 1.9447 0.0393
N -1.8890 1.5286 4.9362
N 3.5671 3.3597 2.3739
```

Computed properties:
The calculation puts the theoretical density at 6.1 g cm⁻³. The value obtained for the size of the total moment is 2.10 μB/cell. As for the space group: R-3m. The value obtained for the total energy is -7.814 eV/atom.

---

# 3
Ce2CdRh3 | PBE | optimized geometry

Cell and atoms, written as extended XYZ:
```
24
Lattice="7.8988 0.0000 4.5604 2.6329 7.4470 4.5604 0.0000 0.0000 9.1207" Properties=species:S:1:pos:R:3 pbc="T T T"
Ce 3.9494 5.0925 6.8405
Rh 2.6344 4.6523 4.5630
Ce 6.5823 2.3545 11.4009
Rh 1.3195 0.9330 6.8405
Ce 7.6665 5.4210 9.5230
Cd 1.3165 3.7235 2.2802
Rh 9.2122 6.5140 11.4009
Rh 5.2674 6.5140 9.1233
Cd 3.9494 0.0000 2.2802
Cd 0.0000 0.0000 0.0000
Ce 6.1178 2.0260 6.8405
Rh 7.8973 2.7948 9.1233
Rh 3.9524 2.7948 11.4009
Ce 2.8652 2.0260 8.7184
Cd 0.0000 0.0000 4.5604
Rh 5.2674 6.5140 13.6785
Rh 6.5793 4.6523 6.8405
Rh 5.2643 0.9330 9.1181
Ce 4.4139 5.4210 11.4009
Rh 2.6344 4.6523 9.1181
Ce 2.8652 2.0260 4.9627
Rh 7.8973 2.7948 13.6785
Ce 7.6665 5.4210 13.2788
Rh 5.2643 0.9330 4.5630
```

Computed properties:
The calculation puts the theoretical density at 8.7 g cm⁻³. The value obtained for the size of the total moment is 1.72 μB/cell. As for the space group: Fd-3m. The value obtained for the total energy is -6.206 eV/atom. As for the formation energy: -0.400 eV/atom. As for the offset from the most stable computed form: 154.5 meV/atom.

---

The lowest theoretical density belongs to which entry? Ca4Ce3UN8

---

What is the size of the total moment in the third record? 1.72 μB/cell

---

Copy entry 3 word for word.
Ce2CdRh3 | PBE | optimized geometry

Cell and atoms, written as extended XYZ:
```
24
Lattice="7.8988 0.0000 4.5604 2.6329 7.4470 4.5604 0.0000 0.0000 9.1207" Properties=species:S:1:pos:R:3 pbc="T T T"
Ce 3.9494 5.0925 6.8405
Rh 2.6344 4.6523 4.5630
Ce 6.5823 2.3545 11.4009
Rh 1.3195 0.9330 6.8405
Ce 7.6665 5.4210 9.5230
Cd 1.3165 3.7235 2.2802
Rh 9.2122 6.5140 11.4009
Rh 5.2674 6.5140 9.1233
Cd 3.9494 0.0000 2.2802
Cd 0.0000 0.0000 0.0000
Ce 6.1178 2.0260 6.8405
Rh 7.8973 2.7948 9.1233
Rh 3.9524 2.7948 11.4009
Ce 2.8652 2.0260 8.7184
Cd 0.0000 0.0000 4.5604
Rh 5.2674 6.5140 13.6785
Rh 6.5793 4.6523 6.8405
Rh 5.2643 0.9330 9.1181
Ce 4.4139 5.4210 11.4009
Rh 2.6344 4.6523 9.1181
Ce 2.8652 2.0260 4.9627
Rh 7.8973 2.7948 13.6785
Ce 7.6665 5.4210 13.2788
Rh 5.2643 0.9330 4.5630
```

Computed properties:
The calculation puts the theoretical density at 8.7 g cm⁻³. The value obtained for the size of the total moment is 1.72 μB/cell. As for the space group: Fd-3m. The value obtained for the total energy is -6.206 eV/atom. As for the formation energy: -0.400 eV/atom. As for the offset from the most stable computed form: 154.5 meV/atom.